# 1
VASP calculation (GGA-PBE) on a relaxed structure of KRb2Te.

Values from the calculation:
DOS(E_F) = 2.224 states/eV/f.u.
VASP energy = -2.147 eV/atom
Energy relative to the elements, uncorrected = -0.604 eV/atom

Unit cell a=13.1402 b=13.1402 c=9.8927 alpha=48.38 beta=48.38 gamma=90.00
Last column: nearest neighbours and their distance in Å.
Fractional positions:
K1 0.5000 0.5000 0.0000  2 Te 3.40
K2 0.2500 0.7500 0.5000  2 Te 3.40
Te1 0.0000 0.0000 0.0000  2 K 3.40, 4 Rb 3.61
Te2 0.7500 0.2500 0.5000  2 K 3.40, 4 Rb 3.61
Rb1 0.7801 0.1250 0.2500  2 Te 3.61
Rb2 0.9699 0.6250 0.2500  2 Te 3.61
Rb3 0.3750 0.2199 0.7500  2 Te 3.61
Rb4 0.8750 0.0301 0.7500  2 Te 3.61


# 2
VASP calculation (GGA-PBE) on a relaxed structure of KRb2Te2.

Values from the calculation:
DOS(E_F) = 0.902 states/eV/f.u.
VASP energy = -2.658 eV/atom
Offset from the most stable computed form = 17.8 meV per atom
Energy relative to the elements, uncorrected = -0.795 eV/atom

Unit cell a=10.3825 b=10.3825 c=3.9333 alpha=90.00 beta=90.00 gamma=90.00
Last column: nearest neighbours and their distance in Å.
Fractional positions:
K1 0.0000 0.0000 0.0000  2 K 3.93, 4 Rb 4.13, 8 Te 4.30
K2 0.5000 0.5000 0.0000  2 K 3.93, 4 Rb 4.13, 8 Te 4.30
Te1 0.1782 0.6782 0.5000  6 Rb 3.55-3.72, 2 Te 3.93
Te2 0.6782 0.8218 0.5000  6 Rb 3.55-3.72, 2 Te 3.93
Te3 0.8218 0.3218 0.5000  6 Rb 3.55-3.72, 2 Te 3.93
Te4 0.3218 0.1782 0.5000  6 Rb 3.55-3.72, 2 Te 3.93
Rb1 0.3795 0.8795 0.0000  3 Rb 3.54-3.93, 6 Te 3.55-3.72
Rb2 0.8795 0.6205 0.0000  3 Rb 3.54-3.93, 6 Te 3.55-3.72
Rb3 0.6205 0.1205 0.0000  3 Rb 3.54-3.93, 6 Te 3.55-3.72
Rb4 0.1205 0.3795 0.0000  3 Rb 3.54-3.93, 6 Te 3.55-3.72


# 3
VASP calculation (GGA-PBE) on a relaxed structure of K2RbTe6.

Values from the calculation:
DOS(E_F) = 3.293 states/eV/f.u.
VASP energy = -3.033 eV/atom
Offset from the most stable computed form = 0.0 meV per atom
Energy relative to the elements, uncorrected = -0.588 eV/atom

Unit cell a=4.6245 b=11.2427 c=11.2427 alpha=61.78 beta=52.41 gamma=52.41
Last column: nearest neighbours and their distance in Å.
Fractional positions:
K1 0.0492 0.3327 0.3327  8 Te 3.63-3.71
K2 0.9535 0.6672 0.6672  8 Te 3.62-3.71
Rb1 0.9975 0.9999 0.9999  8 Te 3.73-3.76
Te1 0.4551 0.9133 0.4232  2 Te 2.96-3.11
Te2 0.5468 0.0868 0.5767  2 Te 2.96-3.09
Te3 0.5468 0.5767 0.0868  2 Te 2.96-3.09
Te4 0.4980 0.2562 0.7439  4 Te 3.09-3.42
Te5 0.4980 0.7439 0.2562  4 Te 3.09-3.42
Te6 0.4551 0.4232 0.9133  2 Te 2.96-3.11


# 4
VASP calculation (GGA-PBE) on a relaxed structure of KRb3Te.

Values from the calculation:
DOS(E_F) = 0.884 states/eV/f.u.
VASP energy = -1.930 eV/atom
Offset from the most stable computed form = 0.0 meV per atom
Energy relative to the elements, uncorrected = -0.502 eV/atom

Unit cell a=7.1619 b=7.1619 c=7.1619 alpha=90.00 beta=90.00 gamma=90.00
Last column: nearest neighbours and their distance in Å.
Fractional positions:
K1 0.5000 0.5000 0.5000  12 Rb 5.06
Te1 0.0000 0.0000 0.0000  6 Rb 3.58
Rb1 0.0000 0.5000 0.0000  2 Te 3.58
Rb2 0.0000 0.0000 0.5000  2 Te 3.58
Rb3 0.5000 0.0000 0.0000  2 Te 3.58